## Pm2GdGa (GGA-PBE)

Data for an optimized crystal structure of Pm2GdGa.

```
data_Pm2GdGa
_chemical_formula_sum 'Pm2 Gd1 Ga1'
_symmetry_space_group_name_H-M 'P 4/m m m'
_symmetry_Int_Tables_number 123
_symmetry_space_group_name_Hall '-P 4 2'
_cell_length_a 3.604
_cell_length_b 3.604
_cell_length_c 9.032
_cell_angle_alpha 90.00
_cell_angle_beta 90.00
_cell_angle_gamma 90.00
loop_
_atom_site_label
_atom_site_type_symbol
_atom_site_fract_x
_atom_site_fract_y
_atom_site_fract_z
_atom_site_occupancy
Pm1 Pm 0.000 0.000 0.210 1
Gd1 Gd 0.500 0.500 0.500 1
Ga1 Ga 0.500 0.500 0.000 1
```

Calculated values
Total moment in μB per formula unit: 7.5
DFT formation energy in eV per formula unit: -0.98
Crystal system: tetragonal
DOS at the Fermi energy in states/eV per cell: 5.2
Uncorrected energy in eV per atom: -6.898
Calculated volume in A^3/atom: 29.32
Excess energy over the best structure of this formula in the dataset in kJ per mole of atoms: 0.67